The following is a PBE-GGA calculation of an optimized crystal structure of Al2VCl, from Alexandria via LeMat-Bulk.

Lattice parameters (Å, degrees): 4.7501 4.7501 4.7501 60.00 60.00 60.00
With the nearest neighbours (Å) after each atom.
Sites, in units of the cell vectors:
1 V 0.5000 0.5000 0.5000  8 Al 2.91
2 Al 0.2500 0.2500 0.2500  4 V 2.91, 4 Cl 2.91
3 Al 0.7500 0.7500 0.7500  4 V 2.91, 4 Cl 2.91
4 Cl 0.0000 0.0000 0.0000  8 Al 2.91

Values from the calculation:
Symmetry: No. 225
Formation energy (no corrections), kJ per mole of atoms: 59.9
DFT total energy, eV/atom: -3.992

The following is a PBE-GGA calculation of an optimized crystal structure of ZnCd5Ag6, from Alexandria via LeMat-Bulk.

Lattice parameters (Å, degrees): 4.2753 7.9725 7.9725 109.61 105.52 105.52
With the nearest neighbours (Å) after each atom.
Sites, in units of the cell vectors:
1 Zn 0.0000 0.0000 0.0000  8 Ag 2.89-2.92, 4 Cd 3.04
2 Ag 0.2454 0.0818 0.4091  1 Zn 2.92, 7 Cd 2.92-3.03, 4 Ag 3.02-3.10
3 Ag 0.7546 0.5909 0.9182  1 Zn 2.92, 7 Cd 2.92-3.03, 4 Ag 3.02-3.10
4 Ag 0.7398 0.2396 0.2396  2 Zn 2.89-2.90, 6 Cd 2.91-3.02, 4 Ag 3.02
5 Ag 0.2602 0.7604 0.7604  2 Zn 2.89-2.90, 6 Cd 2.91-3.02, 4 Ag 3.02
6 Ag 0.2454 0.4091 0.0818  1 Zn 2.92, 7 Cd 2.92-3.03, 4 Ag 3.02-3.10
7 Ag 0.7546 0.9182 0.5909  1 Zn 2.92, 7 Cd 2.92-3.03, 4 Ag 3.02-3.10
8 Cd 0.5000 0.1662 0.8338  8 Ag 2.91-3.03, 2 Zn 3.04, 2 Cd 3.07
9 Cd 0.0000 0.3348 0.6652  8 Ag 2.98-3.02, 4 Cd 3.03-3.07
10 Cd 0.5000 0.5000 0.5000  8 Ag 2.97-3.01, 4 Cd 3.03
11 Cd 0.0000 0.6652 0.3348  8 Ag 2.98-3.02, 4 Cd 3.03-3.07
12 Cd 0.5000 0.8338 0.1662  8 Ag 2.91-3.03, 2 Zn 3.04, 2 Cd 3.07

Values from the calculation:
E_form, eV/atom: -0.040
Symmetry: No. 71
DFT total energy, eV/atom: -1.953

The following is a PBE-GGA calculation of an optimized crystal structure of Na2PdCl6, from Alexandria via LeMat-Bulk.

Lattice parameters (Å, degrees): 6.6497 6.9679 9.4988 90.00 91.67 90.00
With the nearest neighbours (Å) after each atom.
Sites, in units of the cell vectors:
1 Na 0.9716 0.4128 0.7627  6 Cl 2.86-3.05
2 Na 0.5284 0.9128 0.7373  6 Cl 2.86-3.05
3 Na 0.4716 0.0872 0.2627  6 Cl 2.86-3.05
4 Na 0.0284 0.5872 0.2373  6 Cl 2.86-3.05
5 Pd 0.5000 0.5000 0.0000  6 Cl 2.35
6 Pd 0.0000 0.0000 0.5000  6 Cl 2.35
7 Cl 0.8854 0.9732 0.2642  1 Pd 2.35
8 Cl 0.8230 0.7186 0.5548  1 Pd 2.35
9 Cl 0.7833 0.6854 0.9463  1 Pd 2.35
10 Cl 0.7167 0.1854 0.5537  1 Pd 2.35
11 Cl 0.6770 0.2186 0.9452  1 Pd 2.35
12 Cl 0.6146 0.4732 0.2358  1 Pd 2.35
13 Cl 0.1146 0.0268 0.7358  1 Pd 2.35
14 Cl 0.1770 0.2814 0.4452  1 Pd 2.35
15 Cl 0.2167 0.3146 0.0537  1 Pd 2.35
16 Cl 0.2833 0.8146 0.4463  1 Pd 2.35
17 Cl 0.3230 0.7814 0.0548  1 Pd 2.35
18 Cl 0.3854 0.5268 0.7642  1 Pd 2.35

Values from the calculation:
Symmetry: No. 14
Formation energy (no corrections), kJ per mole of atoms: -98.1
DFT total energy, eV/atom: -3.118

The following is a PBE-GGA calculation of an optimized crystal structure of Ca2YSc, from Alexandria via LeMat-Bulk.

Lattice parameters (Å, degrees): 5.9945 3.4816 6.4561 82.83 90.00 90.00
With the nearest neighbours (Å) after each atom.
Sites, in units of the cell vectors:
1 Y 0.5000 0.7500 0.7500  4 Sc 3.47-3.85, 2 Y 3.48, 4 Ca 3.59
2 Sc 0.5000 0.2500 0.2500  4 Y 3.47-3.85, 2 Sc 3.48, 4 Ca 3.53
3 Ca 0.0000 0.0135 0.0047  5 Ca 3.46-3.75, 2 Sc 3.53, 2 Y 3.59
4 Ca 0.0000 0.4865 0.4953  5 Ca 3.46-3.75, 2 Sc 3.53, 2 Y 3.59

Values from the calculation:
E_form, eV/atom: 0.207
Symmetry: No. 10
DFT total energy, eV/atom: -3.993

The following is a PBE-GGA calculation of an optimized crystal structure of OsPtSe, from Alexandria via LeMat-Bulk.

Lattice parameters (Å, degrees): 5.2653 5.2653 5.2653 148.23 140.81 51.30
With the nearest neighbours (Å) after each atom.
Sites, in units of the cell vectors:
1 Os 0.0199 0.0199 0.0000  4 Se 2.56, 4 Pt 2.87
2 Pt 0.3365 0.3365 0.0000  5 Os 2.87-3.01, 2 Pt 2.88, 5 Se 2.92
3 Se 0.6437 0.6437 0.0000  4 Os 2.56

Values from the calculation:
Symmetry: No. 44
Formation energy (no corrections), kJ per mole of atoms: 56.0
DFT total energy, eV/atom: -6.338

The following is a PBE-GGA calculation of an optimized crystal structure of Er4TmPb4, from Alexandria via LeMat-Bulk.

Lattice parameters (Å, degrees): 5.8922 9.5001 9.5001 90.00 90.00 90.00
With the nearest neighbours (Å) after each atom.
Sites, in units of the cell vectors:
1 Er 0.3678 0.4260 0.8439  5 Pb 3.16-3.47, 1 Er 3.28, 1 Tm 3.43
2 Er 0.8678 0.6561 0.9260  5 Pb 3.16-3.47, 1 Er 3.28, 1 Tm 3.43
3 Er 0.3678 0.5740 0.1561  5 Pb 3.16-3.47, 1 Er 3.28, 1 Tm 3.43
4 Er 0.1322 0.0740 0.6561  5 Pb 3.16-3.47, 1 Er 3.28, 1 Tm 3.43
5 Er 0.6322 0.8439 0.5740  5 Pb 3.16-3.47, 1 Er 3.28, 1 Tm 3.43
6 Er 0.1322 0.9260 0.3439  5 Pb 3.16-3.47, 1 Er 3.28, 1 Tm 3.43
7 Er 0.8678 0.3439 0.0740  5 Pb 3.16-3.47, 1 Er 3.28, 1 Tm 3.43
8 Er 0.6322 0.1561 0.4260  5 Pb 3.16-3.47, 1 Er 3.28, 1 Tm 3.43
9 Tm 0.0000 0.0000 0.0000  4 Pb 3.18, 4 Er 3.43
10 Tm 0.5000 0.5000 0.5000  4 Pb 3.18, 4 Er 3.43
11 Pb 0.6203 0.8888 0.2111  3 Pb 3.14-3.51, 5 Er 3.16-3.47, 1 Tm 3.18
12 Pb 0.6203 0.1112 0.7889  3 Pb 3.14-3.51, 5 Er 3.16-3.47, 1 Tm 3.18
13 Pb 0.1203 0.7111 0.6112  3 Pb 3.14-3.51, 5 Er 3.16-3.47, 1 Tm 3.18
14 Pb 0.8797 0.3888 0.7111  3 Pb 3.14-3.51, 5 Er 3.16-3.47, 1 Tm 3.18
15 Pb 0.8797 0.6112 0.2889  3 Pb 3.14-3.51, 5 Er 3.16-3.47, 1 Tm 3.18
16 Pb 0.3797 0.2111 0.1112  3 Pb 3.14-3.51, 5 Er 3.16-3.47, 1 Tm 3.18
17 Pb 0.3797 0.7889 0.8888  3 Pb 3.14-3.51, 5 Er 3.16-3.47, 1 Tm 3.18
18 Pb 0.1203 0.2889 0.3888  3 Pb 3.14-3.51, 5 Er 3.16-3.47, 1 Tm 3.18

Values from the calculation:
E_form, eV/atom: -0.226
Symmetry: No. 86
DFT total energy, eV/atom: -4.399

The following is a PBE-GGA calculation of an optimized crystal structure of BiTe4Pb5, from Alexandria via LeMat-Bulk.

Lattice parameters (Å, degrees): 4.6123 4.6123 16.8318 97.87 97.87 90.00
With the nearest neighbours (Å) after each atom.
Sites, in units of the cell vectors:
1 Bi 0.0000 0.0000 0.0000  6 Pb 3.26-3.34
2 Te 0.3997 0.3997 0.7993  6 Pb 3.26-3.31
3 Te 0.7992 0.7992 0.5984  6 Pb 3.26-3.29
4 Te 0.2008 0.2008 0.4016  6 Pb 3.26-3.29
5 Te 0.6003 0.6003 0.2007  6 Pb 3.26-3.31
6 Pb 0.1012 0.1012 0.2024  5 Te 3.26-3.29, 1 Bi 3.34
7 Pb 0.5000 0.5000 0.0000  4 Bi 3.26, 2 Te 3.31
8 Pb 0.8988 0.8988 0.7976  5 Te 3.26-3.29, 1 Bi 3.34
9 Pb 0.2998 0.2998 0.5997  6 Te 3.26-3.30
10 Pb 0.7002 0.7002 0.4003  6 Te 3.26-3.30

Values from the calculation:
Symmetry: No. 139
Formation energy (no corrections), kJ per mole of atoms: -27.4
DFT total energy, eV/atom: -3.783

The following is a PBE-GGA calculation of an optimized crystal structure of Li2ThScAu4, from Alexandria via LeMat-Bulk.

Lattice parameters (Å, degrees): 4.6195 4.6195 9.0196 75.16 75.16 60.00
With the nearest neighbours (Å) after each atom.
Sites, in units of the cell vectors:
1 Li 0.7612 0.7612 0.7165  7 Au 2.76-3.01
2 Li 0.2388 0.2388 0.2835  7 Au 2.76-3.01
3 Th 0.0000 0.0000 0.0000  8 Au 3.07-3.16
4 Sc 0.5000 0.5000 0.5000  8 Au 2.79-2.90
5 Au 0.3921 0.3921 0.8238  1 Sc 2.79, 3 Li 2.82, 3 Th 3.07
6 Au 0.8777 0.8777 0.3669  4 Li 2.76-3.01, 3 Sc 2.90
7 Au 0.1223 0.1223 0.6331  4 Li 2.76-3.01, 3 Sc 2.90
8 Au 0.6079 0.6079 0.1762  1 Sc 2.79, 3 Li 2.82, 3 Th 3.07

Values from the calculation:
E_form, eV/atom: -0.652
Symmetry: No. 166
DFT total energy, eV/atom: -4.488